VASP calculation (PBE with a Hubbard U) on ZnNiN2F after structural relaxation.

Results
Fermi-level density of states	3.23	states/eV/f.u.
calculated volume	11.792	Å³ per atom
excess energy over the best structure of this formula in the dataset	32.6	kJ/mol of atoms
space-group type	P4/mmm
crystal system	tetragonal

a = 3.8117 Å, b = 3.8117 Å, c = 4.0580 Å
α = 90.00°, β = 90.00°, γ = 90.00°
Sites, in units of the cell vectors:
1 N 0.0000 0.5000 0.0000
2 N 0.5000 0.0000 0.0000
3 Ni 0.5000 0.5000 0.5000
4 F 0.0000 0.0000 0.5000
5 Zn 0.0000 0.0000 0.0000